Record 1
The following is a DFT calculation (PBE-GGA) of crystalline NbCdW2 at its relaxed geometry.

Values from the calculation:
DOS(E_F) in states/eV/f.u.: 3.51
Formation energy from the elements in eV/atom: 1.2033
Size of the total moment in μB/cell: 0.00

Cell lengths 7.4662, 7.4662, 5.5430 Å; angles 90.00, 90.00, 90.00 degrees
With the nearest neighbours (Å) after each atom.
Space group I-42d (No. 122)
Asymmetric unit:
Nb (0.0000, 0.0000, 0.0000) (multiplicity 4)  4 W 2.63, 2 Cd 2.77
Cd (0.0000, 0.0000, 0.5000) (multiplicity 4)  2 Nb 2.77, 4 W 2.84
W (0.2293, 0.2500, 0.1250) (multiplicity 8)  2 Nb 2.63, 2 W 2.79, 2 Cd 2.84

Record 2
The following is a DFT calculation (PBE-GGA) of crystalline NbCdW2 at its relaxed geometry.

Values from the calculation:
DOS(E_F) in states/eV/f.u.: 2.56
Formation energy from the elements in eV/atom: 0.2809
Size of the total moment in μB/cell: 0.00

Cell lengths 2.7838, 4.6244, 11.0911 Å; angles 90.00, 91.16, 90.00 degrees
With the nearest neighbours (Å) after each atom.
Space group Pm (No. 6)
Asymmetric unit:
Nb (0.0000, 0.0000, 0.0000) (multiplicity 1)  4 W 2.73-2.96, 3 Nb 2.78-2.82, 1 Cd 2.94
Nb (0.2683, 0.0000, 0.2461) (multiplicity 1)  5 W 2.64-2.83, 3 Nb 2.78-2.82
Cd (0.0957, 0.5000, 0.6182) (multiplicity 1)  4 Cd 2.78-2.80, 1 W 2.86
Cd (0.3254, 0.0000, 0.7499) (multiplicity 1)  4 Cd 2.78-2.80, 1 Nb 2.94, 2 W 2.97
W (0.5677, 0.5000, 0.1241) (multiplicity 1)  4 W 2.69-2.81, 4 Nb 2.81-2.96
W (0.5947, 0.0000, 0.4714) (multiplicity 1)  1 Nb 2.64, 4 W 2.77-2.78
W (0.7292, 0.5000, 0.8860) (multiplicity 1)  3 W 2.69-2.78, 2 Nb 2.73, 2 Cd 2.97
W (0.9214, 0.5000, 0.3633) (multiplicity 1)  5 W 2.77-2.81, 2 Nb 2.83, 1 Cd 2.86